VASP calculation (PBE) on an optimized crystal structure of TmScPt.

a b c (Å): 4.6845 4.6845 8.1101
angles (deg): 73.21 73.21 60.00
Sites, in units of the cell vectors:
Tm 0.8773 0.8773 0.3680
Tm 0.1227 0.1227 0.6320
Sc 0.3728 0.3728 0.8817
Sc 0.6272 0.6272 0.1183
Pt 0.7473 0.7473 0.7582
Pt 0.2527 0.2527 0.2418

Results
- Calculated formation energy: -86 kJ/mol of atoms
- Polymorph energy (0 for the lowest one): 0.106 eV/atom
- Mass density: 9.35 g/cm³
- Total magnetic moment: 0.00 μB per formula unit
- Total DFT energy (no corrections): -6.502 eV/atom